(1)
This record from Alexandria describes an optimized crystal structure of AlCrS2F. The functional is PBE+U.

```
AlCrS2F
1.0
5.070 0.000 0.000
0.000 5.070 0.000
0.000 0.000 3.703
Al Cr S F
1 1 2 1
Direct
0.000 0.000 0.000
0.500 0.500 0.000
0.000 0.500 0.500
0.500 0.000 0.500
0.500 0.500 0.500
```

Computed properties:
final energy = -19.50 eV/cell
calculated volume = 95.2 Å³ per cell
space group = P4/mmm

(2)
This record from Alexandria describes an optimized crystal structure of AlCr2SnF. The functional is PBE+U.

```
AlCr2SnF
1.0
5.344 0.000 0.000
0.000 5.344 0.000
0.000 0.000 3.675
Al Cr Sn F
1 2 1 1
Direct
0.000 0.000 0.000
0.000 0.500 0.000
0.500 0.000 0.000
0.500 0.500 0.500
0.000 0.000 0.500
```

Computed properties:
final energy = -25.23 eV/cell
calculated volume = 105.0 Å³ per cell
space group = P4/mmm

(3)
This record from Alexandria describes an optimized crystal structure of AlTl2CrF. The functional is PBE+U.

```
AlTl2CrF
1.0
5.611 0.000 0.000
0.000 5.611 0.000
0.000 0.000 3.925
Al Tl Cr F
1 2 1 1
Direct
0.000 0.000 0.000
0.000 0.500 0.500
0.500 0.000 0.500
0.500 0.500 0.000
0.500 0.500 0.500
```

Computed properties:
final energy = -19.34 eV/cell
calculated volume = 123.6 Å³ per cell
space group = P4/mmm

(4)
This record from Alexandria describes an optimized crystal structure of Al2TlCrF8. The functional is PBE+U.

```
Al2TlCrF8
1.0
2.746 1.585 7.851
-2.746 1.585 7.851
0.000 -3.170 7.851
Al Tl Cr F
2 1 1 8
Direct
0.248 0.248 0.248
0.752 0.752 0.752
0.000 0.000 0.000
0.500 0.500 0.500
0.066 0.781 0.475
0.219 0.525 0.934
0.320 0.320 0.320
0.475 0.066 0.781
0.525 0.934 0.219
0.680 0.680 0.680
0.781 0.475 0.066
0.934 0.219 0.525
```

Computed properties:
final energy = -66.01 eV/cell
calculated volume = 205.0 Å³ per cell
space group = R-3

- Look up the calculated volume of the fourth one.
  205.0 Å³ per cell